This record from Alexandria describes crystalline Pm4SmCd5 at its relaxed geometry. The functional is PBE.

a = 3.8320 Å, b = 3.8320 Å, c = 19.1045 Å
α = 90.00°, β = 90.00°, γ = 90.00°
Each line ends with the local moment (μB).
Positions (direct):
Pm: 0.0000 0.0000 0.6003  0.19
Cd: 0.5000 0.5000 0.7004  0.01
Pm: 0.0000 0.0000 0.1993  0.20
Cd: 0.5000 0.5000 0.9012  0.01
Cd: 0.5000 0.5000 0.2996  0.01
Pm: 0.0000 0.0000 0.8007  0.20
Cd: 0.5000 0.5000 0.0988  0.01
Pm: 0.0000 0.0000 0.3997  0.19
Cd: 0.5000 0.5000 0.5000  0.01
Sm: 0.0000 0.0000 0.0000  0.17

Output
DFT formation energy (meV per atom): -319
Calculated total energy (eV per cell): -31.48
D(E_F) (states/eV per cell): 12.01